Run i
Here is a relaxed structure of LiLa2FePb from Alexandria via LeMat-Bulk. Energies are from PBE.

Unit cell a=5.089 b=5.089 c=5.033 alpha=90.00 beta=90.00 gamma=90.00
Element x y z (fractional)
La 0.000 0.500 0.000
La 0.500 0.000 0.000
Pb 0.500 0.500 0.500
Li 0.000 0.000 0.500
Fe 0.000 0.000 0.000

Output
The value obtained for the calculated volume is 130.3 Å³/cell. The value obtained for the density of states at the Fermi level is 4.04 states/eV/cell.


Run ii
Here is a relaxed structure of LiLa2FePb from Alexandria via LeMat-Bulk. Energies are from PBE.

Unit cell a=6.145 b=4.825 c=6.145 alpha=90.00 beta=90.00 gamma=90.00
Last column: magnetic moment on the atom in μB.
Element x y z (fractional)
La 0.000 0.000 0.500  -0.23
La 0.500 0.000 0.000  -0.26
Pb 0.000 0.000 0.000  0.01
Fe 0.500 0.500 0.500  3.08
Li 0.000 0.500 0.000  0.00

Output
The value obtained for the calculated volume is 182.2 Å³/cell. The value obtained for the density of states at the Fermi level is 13.53 states/eV/cell.


run ii is the least stable structure shown above.